(1)
Entry from Alexandria via LeMat-Bulk: a relaxed HfVHRu2 crystal (PBE).

symmetry	P4/mmm
raw total energy	-42.11	eV per formula unit

Cell lengths 4.2180, 4.2180, 3.6135 Å; angles 90.00, 90.00, 90.00 degrees
Last column: nearest neighbours and their distance in Å.
Element x y z (fractional)
Ru1 0.5000 0.0000 0.0000  2 H 2.11
Hf1 0.5000 0.5000 0.5000  8 Ru 2.78, 4 V 2.98
V1 0.0000 0.0000 0.5000  2 H 1.81
Ru2 0.0000 0.5000 0.0000  2 H 2.11
H1 0.0000 0.0000 0.0000  2 V 1.81

***

(2)
Entry from Alexandria via LeMat-Bulk: a relaxed PrSmZnRu crystal (PBE).

E_form	-240.0	meV per atom
symmetry	Amm2
raw total energy	-21.01	eV per formula unit
energy above the lowest structure with this stoichiometry	0	meV per atom

Cell lengths 4.1041, 4.3549, 5.7903 Å; angles 90.00, 110.76, 90.00 degrees
Last column: nearest neighbours and their distance in Å.
Element x y z (fractional)
Sm1 0.1370 0.0000 0.2741  3 Zn 3.01-3.21, 4 Ru 3.07
Zn1 0.4332 0.0000 0.8664  2 Ru 2.65
Pr1 0.8568 0.5000 0.7137  3 Ru 3.07-3.11, 4 Zn 3.10
Ru1 0.5729 0.5000 0.1459  2 Zn 2.65

***

(3)
Entry from Alexandria via LeMat-Bulk: a relaxed Sr2TiCo crystal (PBE).

E_form	988.6	meV per atom
symmetry	Fm-3m
raw total energy	-14.41	eV per formula unit
energy above the lowest structure with this stoichiometry	512	meV per atom

Cell lengths 5.3845, 5.3845, 5.3845 Å; angles 60.00, 60.00, 60.00 degrees
Last column: nearest neighbours and their distance in Å.
Element x y z (fractional)
Ti1 0.0000 0.0000 0.0000  8 Sr 3.30
Sr1 0.7500 0.7500 0.7500  4 Co 3.30, 4 Ti 3.30
Sr2 0.2500 0.2500 0.2500  4 Co 3.30, 4 Ti 3.30
Co1 0.5000 0.5000 0.5000  8 Sr 3.30

***

(4)
Entry from Alexandria via LeMat-Bulk: a relaxed K2AlCd crystal (PBE).

E_form	283.0	meV per atom
symmetry	Cmmm
raw total energy	-5.72	eV per formula unit
energy above the lowest structure with this stoichiometry	200	meV per atom

Cell lengths 6.5369, 6.5369, 3.5617 Å; angles 90.02, 90.02, 112.41 degrees
Last column: nearest neighbours and their distance in Å.
Element x y z (fractional)
K1 0.0000 0.0000 0.0000  4 K 3.56-3.64, 4 Cd 3.72, 4 Al 3.72
Al1 0.5000 0.0000 0.5000  2 Al 3.56, 2 Cd 3.64, 8 K 3.72
K2 0.5000 0.5000 0.0000  4 K 3.56-3.64, 4 Al 3.72, 4 Cd 3.72
Cd1 0.0000 0.5000 0.5000  2 Cd 3.56, 2 Al 3.64, 8 K 3.72

***

(5)
Entry from Alexandria via LeMat-Bulk: a relaxed AcErAgSb crystal (PBE).

raw formation energy	-474	meV per atom
symmetry	F-43m
raw total energy	-17.54	eV per formula unit

Cell lengths 5.4685, 5.4685, 5.4685 Å; angles 60.00, 60.00, 60.00 degrees
Last column: nearest neighbours and their distance in Å.
Element x y z (fractional)
Ag1 0.7500 0.7500 0.7500  4 Ac 3.35, 4 Er 3.35
Sb1 0.2500 0.2500 0.2500  4 Ac 3.35, 4 Er 3.35
Er1 0.5000 0.5000 0.5000  4 Ag 3.35, 4 Sb 3.35
Ac1 0.0000 0.0000 0.0000  4 Ag 3.35, 4 Sb 3.35

***

(6)
Entry from Alexandria via LeMat-Bulk: a relaxed LiZnSe2 crystal (PBE).

raw formation energy	-538	meV per atom
symmetry	Pmm2
raw total energy	-12.31	eV per formula unit
energy above the lowest structure with this stoichiometry	67	meV per atom

Cell lengths 5.4083, 3.1936, 4.3160 Å; angles 90.00, 90.00, 90.00 degrees
Last column: nearest neighbours and their distance in Å.
Element x y z (fractional)
Zn1 0.0000 0.3767 0.3747  6 Se 2.68-2.70
Se1 0.0000 0.8754 0.8748  4 Zn 2.68-2.69, 2 Li 2.70
Li1 0.5000 0.8735 0.8752  6 Se 2.68-2.70
Se2 0.5000 0.3745 0.3752  4 Li 2.68-2.69, 2 Zn 2.70

***

(7)
Entry from Alexandria via LeMat-Bulk: a relaxed YZrNi crystal (PBE).

E_form	-199.9	meV per atom
symmetry	Fmmm
raw total energy	-21.39	eV per formula unit
energy above the lowest structure with this stoichiometry	0	meV per atom

Cell lengths 5.3973, 5.3973, 5.5880 Å; angles 106.06, 106.06, 115.28 degrees
Last column: nearest neighbours and their distance in Å.
Element x y z (fractional)
Ni1 0.7500 0.2500 0.5000  4 Zr 2.79, 4 Y 2.88, 2 Ni 2.89
Y1 0.3256 0.6744 0.0000  4 Ni 2.88, 3 Y 3.18-3.20
Zr1 0.8237 0.8237 0.6475  4 Ni 2.79
Y2 0.6744 0.3256 0.0000  4 Ni 2.88, 3 Y 3.18-3.20
Zr2 0.1763 0.1763 0.3525  4 Ni 2.79
Ni2 0.2500 0.7500 0.5000  4 Zr 2.79, 4 Y 2.88, 2 Ni 2.89

***

(8)
Entry from Alexandria via LeMat-Bulk: a relaxed Pu2HfZrN4 crystal (PBE).

raw formation energy	-1547	meV per atom
symmetry	P2/m
raw total energy	-92.84	eV per formula unit

Cell lengths 3.3327, 5.7736, 5.8629 Å; angles 109.13, 90.00, 90.00 degrees
Last column: nearest neighbours and their distance in Å.
Element x y z (fractional)
Hf1 0.0000 0.0000 0.0000  6 N 2.28-2.29
N1 0.5000 0.7630 0.7733  2 Hf 2.29, 1 Zr 2.32, 3 Pu 2.42-2.46
Pu1 0.5000 0.0000 0.5000  6 N 2.42
N2 0.0000 0.2511 0.7692  1 Hf 2.28, 2 Zr 2.32, 3 Pu 2.42-2.46
Zr1 0.5000 0.5000 0.0000  6 N 2.32
N3 0.0000 0.7489 0.2308  1 Hf 2.28, 2 Zr 2.32, 3 Pu 2.42-2.46
Pu2 0.0000 0.5000 0.5000  6 N 2.46
N4 0.5000 0.2370 0.2267  2 Hf 2.29, 1 Zr 2.32, 3 Pu 2.42-2.46

***

(9)
Entry from Alexandria via LeMat-Bulk: a relaxed Y2Hf2Zr crystal (PBE).

E_form	326.6	meV per atom
symmetry	P4/mbm
raw total energy	-39.75	eV per formula unit

Cell lengths 7.6887, 7.6887, 4.5462 Å; angles 90.00, 90.00, 90.00 degrees
Last column: nearest neighbours and their distance in Å.
Element x y z (fractional)
Y1 0.1634 0.6634 0.5000  6 Hf 3.16-3.24
Y2 0.8366 0.3366 0.5000  6 Hf 3.16-3.24
Hf1 0.3648 0.8648 0.0000  1 Hf 2.94, 2 Zr 2.99, 6 Y 3.16-3.24
Hf2 0.1352 0.3648 0.0000  1 Hf 2.94, 2 Zr 2.99, 6 Y 3.16-3.24
Hf3 0.6352 0.1352 0.0000  1 Hf 2.94, 2 Zr 2.99, 6 Y 3.16-3.24
Hf4 0.8648 0.6352 0.0000  1 Hf 2.94, 2 Zr 2.99, 6 Y 3.16-3.24
Zr1 0.5000 0.5000 0.0000  4 Hf 2.99
Y3 0.6634 0.8366 0.5000  6 Hf 3.16-3.24
Y4 0.3366 0.1634 0.5000  6 Hf 3.16-3.24
Zr2 0.0000 0.0000 0.0000  4 Hf 2.99

***

(10)
Entry from Alexandria via LeMat-Bulk: a relaxed AcCuH8Pt2 crystal (PBE).

symmetry	R-3m
raw total energy	-49.01	eV per formula unit

Cell lengths 4.8877, 4.8877, 6.2212 Å; angles 66.87, 66.87, 60.00 degrees
Last column: nearest neighbours and their distance in Å.
Element x y z (fractional)
Cu1 0.0000 0.0000 0.0000  6 H 1.73
H1 0.6463 0.0633 0.2280  1 Pt 1.69, 1 Cu 1.73
H2 0.9367 0.9376 0.7720  1 Pt 1.69, 1 Cu 1.73
H3 0.0624 0.6463 0.2280  1 Pt 1.69, 1 Cu 1.73
H4 0.8194 0.8194 0.5419  1 Pt 1.67
Pt1 0.2808 0.2808 0.1576  4 H 1.67-1.69
Pt2 0.7192 0.7192 0.8424  4 H 1.67-1.69
H5 0.1806 0.1806 0.4581  1 Pt 1.67
H6 0.0633 0.0624 0.2280  1 Pt 1.69, 1 Cu 1.73
H7 0.9376 0.3537 0.7720  1 Pt 1.69, 1 Cu 1.73
Ac1 0.5000 0.5000 0.5000  18 H 2.83-2.88
H8 0.3537 0.9367 0.7720  1 Pt 1.69, 1 Cu 1.73

***

(11)
Entry from Alexandria via LeMat-Bulk: a relaxed ErMgGaAg crystal (PBE).

E_form	-404.3	meV per atom
symmetry	F-43m
raw total energy	-13.65	eV per formula unit

Cell lengths 4.8771, 4.8771, 4.8771 Å; angles 60.00, 60.00, 60.00 degrees
Last column: nearest neighbours and their distance in Å.
Element x y z (fractional)
Er1 0.5000 0.5000 0.5000  4 Ag 2.99, 4 Ga 2.99
Mg1 0.0000 0.0000 0.0000  4 Ag 2.99, 4 Ga 2.99
Ag1 0.2500 0.2500 0.2500  4 Er 2.99, 4 Mg 2.99
Ga1 0.7500 0.7500 0.7500  4 Er 2.99, 4 Mg 2.99

***

(12)
Entry from Alexandria via LeMat-Bulk: a relaxed K2ThMnTe4 crystal (PBE).

raw formation energy	-913	meV per atom
symmetry	P2/m
raw total energy	-38.66	eV per formula unit

Cell lengths 4.5025, 7.7085, 8.6462 Å; angles 107.93, 90.00, 90.00 degrees
Last column: nearest neighbours and their distance in Å.
Element x y z (fractional)
Te1 0.5000 0.2174 0.1935  2 Mn 2.99, 1 Th 3.13
Th1 0.5000 0.5000 0.0000  6 Te 3.13-3.14
Te2 0.5000 0.7826 0.8065  2 Mn 2.99, 1 Th 3.13
Te3 0.0000 0.7444 0.2129  1 Mn 3.08, 2 Th 3.14
K1 0.0000 0.5000 0.5000  6 Te 3.55-3.64
Te4 0.0000 0.2556 0.7871  1 Mn 3.08, 2 Th 3.14
Mn1 0.0000 0.0000 0.0000  6 Te 2.99-3.08
K2 0.5000 0.0000 0.5000  6 Te 3.48-3.54

***

Which of these has the highest raw total energy? K2AlCd